# 1
Density functional theory data (GGA-PBE) for a relaxed Co2SnBi crystal.

abc: 5.856 5.856 5.856
angles: 106.59 106.59 115.39
Fractional positions:
Co: 0.108 0.625 0.983
Co: 0.375 0.358 0.483
Co: 0.642 0.125 0.017
Co: 0.875 0.892 0.517
Sn: 0.000 0.000 0.000
Sn: 0.750 0.250 0.500
Bi: 0.250 0.750 0.500
Bi: 0.500 0.500 0.000

## Properties
Relative energy among the computed polymorphs ... 248 meV per atom
Energy relative to the elements ... 638 meV per atom
Space group ... I-42d (122)

***

# 2
Density functional theory data (GGA-PBE) for a relaxed CoSnBi2 crystal.

abc: 11.222 11.222 11.222
angles: 17.28 17.28 17.28
Fractional positions:
Co: 0.000 0.000 0.000
Sn: 0.500 0.500 0.500
Bi: 0.078 0.078 0.078
Bi: 0.922 0.922 0.922

## Properties
Energy relative to the elements ... 628 meV per atom
Space group ... R-3m (166)

***

Among the records above, which one has the highest energy relative to the elements?
Co2SnBi

***

Which of these has the lowest energy relative to the elements?
CoSnBi2

***

Number 1 is which compound?
Co2SnBi

***

What is the formula in the second record?
CoSnBi2